The following is a PBE calculation of a relaxed Ba6Zn2P crystal, from the Alexandria database.

Unit cell a=7.9538 b=8.9125 c=12.0097 alpha=90.00 beta=89.59 gamma=90.00
Last column: nearest neighbours and their distance in Å.
Fractional positions:
P 0.0000 0.0000 0.5000  6 Ba 3.13-3.15
P 0.5000 0.5000 0.0000  6 Ba 3.13-3.15
Ba 0.3617 0.5439 0.2422  1 P 3.13, 1 Zn 3.47
Ba 0.1383 0.0439 0.2578  1 P 3.13, 1 Zn 3.47
Ba 0.6794 0.1791 0.4305  1 P 3.13
Ba 0.8617 0.9561 0.7422  1 P 3.13, 1 Zn 3.47
Ba 0.8351 0.6906 0.4372  1 P 3.15
Ba 0.6383 0.4561 0.7578  1 P 3.13, 1 Zn 3.47
Ba 0.1649 0.3094 0.5628  1 P 3.15
Ba 0.3206 0.8209 0.5695  1 P 3.13
Ba 0.8206 0.6791 0.0695  1 P 3.13
Ba 0.1794 0.3209 0.9305  1 P 3.13
Ba 0.6649 0.1906 0.0628  1 P 3.15
Ba 0.3351 0.8094 0.9372  1 P 3.15
Zn 0.0486 0.6047 0.7481  6 Ba 3.47-3.71
Zn 0.5486 0.8953 0.2481  6 Ba 3.47-3.71
Zn 0.9514 0.3953 0.2519  6 Ba 3.47-3.71
Zn 0.4514 0.1047 0.7519  6 Ba 3.47-3.71

Calculated volume: 47.30 Å³/atom
E_form: -0.30 eV per atom
Theoretical density: 3.85 g/cm³
Density of states at the Fermi level: 10.86 states/eV/f.u.

The following is a PBE calculation of a relaxed LaIn2FeSb crystal, from the Alexandria database.

Unit cell a=5.0681 b=5.0902 c=5.0681 alpha=90.00 beta=90.00 gamma=90.00
Last column: nearest neighbours and their distance in Å.
Fractional positions:
Sb 0.5000 0.5000 0.5000  4 La 3.58, 8 In 3.59
In 0.5000 0.0000 0.0000  2 Fe 2.53
In 0.0000 0.0000 0.5000  2 Fe 2.53
Fe 0.0000 0.0000 0.0000  4 In 2.53, 2 La 2.55
La 0.0000 0.5000 0.0000  2 Fe 2.55

Raw total energy: -4.79 eV/atom
Calculated volume: 26.15 Å³/atom
Theoretical density: 6.94 g/cm³
Density of states at the Fermi level: 4.34 states/eV/f.u.